# Dy4Y5Tl | Alexandria via LeMat-Bulk | GGA-PBE | optimized geometry
# * energy of formation: 54 meV per atom
# * size of the total moment: 0.00 μB per atom
# * SG: C2/m
# * E: -5.255 eV/atom
data_Dy4Y5Tl
_cell_length_a 3.567
_cell_length_b 9.580
_cell_length_c 10.998
_cell_angle_alpha 118.64
_cell_angle_beta 90.00
_cell_angle_gamma 100.73
_symmetry_space_group_name_H-M 'P 1'
_symmetry_Int_Tables_number 1
loop_
_symmetry_equiv_pos_as_xyz
'x,y,z'
loop_
_atom_site_label
_atom_site_type_symbol
_atom_site_fract_x
_atom_site_fract_y
_atom_site_fract_z
Tl1 Tl 0.500 0.000 0.000
Dy1 Dy 0.021 0.041 0.254
Dy2 Dy 0.337 0.674 0.143
Dy3 Dy 0.979 0.959 0.746
Dy4 Dy 0.663 0.326 0.857
Y1 Y 0.812 0.624 0.423
Y2 Y 0.840 0.679 0.858
Y3 Y 0.188 0.376 0.577
Y4 Y 0.160 0.321 0.142
Y5 Y 0.500 0.000 0.500